w:
The following is a PBE calculation of Sc2MoRu after structural relaxation, from the Alexandria database.

Properties
Size of the total moment, μB/f.u.: 0.00
Space-group type: R-3m (166)

abc: 9.621 9.621 9.621
angles: 17.94 17.94 17.94
Element x y z (fractional)
Sc (0.095, 0.095, 0.095)
Sc (0.905, 0.905, 0.905)
Mo (0.000, 0.000, 0.000)
Ru (0.500, 0.500, 0.500)

***

x:
The following is a PBE calculation of Sc2MoRu after structural relaxation, from the Alexandria database.

Properties
Size of the total moment, μB/f.u.: 0.00
Space-group type: P4mm (99)

abc: 3.057 3.057 8.262
angles: 90.00 90.00 90.00
Element x y z (fractional)
Sc (0.000, 0.000, 0.000)
Sc (0.500, 0.500, 0.358)
Mo (0.000, 0.000, 0.599)
Ru (0.500, 0.500, 0.781)

***

The structure with the greatest stability is x.

***

w:
The following is a PBE calculation of Sc2MoRu after structural relaxation, from the Alexandria database.

Properties
Size of the total moment, μB/f.u.: 0.00
Space-group type: C2/m (12)

abc: 5.226 5.226 2.968
angles: 102.27 102.27 112.20
Element x y z (fractional)
Sc (0.000, 0.500, 0.000)
Sc (0.500, 0.000, 0.000)
Mo (0.000, 0.000, 0.500)
Ru (0.500, 0.500, 0.500)

***

x:
The following is a PBE calculation of Sc2MoRu after structural relaxation, from the Alexandria database.

Properties
Size of the total moment, μB/f.u.: 0.00
Space-group type: P2/m (10)

abc: 2.955 4.332 5.501
angles: 90.00 99.12 90.00
Element x y z (fractional)
Sc (0.224, 0.000, 0.256)
Sc (0.776, 0.000, 0.744)
Mo (0.500, 0.500, 0.000)
Ru (0.000, 0.500, 0.500)

***

The structure with the greatest stability is x.

***

w:
The following is a PBE calculation of Sc2MoRu after structural relaxation, from the Alexandria database.

Properties
Size of the total moment, μB/f.u.: 0.00
Space-group type: I-42d (122)

abc: 5.860 5.860 5.860
angles: 103.22 103.22 122.86
Element x y z (fractional)
Sc (0.099, 0.625, 0.974)
Sc (0.375, 0.349, 0.474)
Sc (0.651, 0.125, 0.026)
Sc (0.875, 0.901, 0.526)
Mo (0.250, 0.750, 0.500)
Mo (0.500, 0.500, 0.000)
Ru (0.000, 0.000, 0.000)
Ru (0.750, 0.250, 0.500)

***

x:
The following is a PBE calculation of Sc2MoRu after structural relaxation, from the Alexandria database.

Properties
Size of the total moment, μB/f.u.: 0.00
Space-group type: Pmm2 (25)

abc: 3.023 4.375 5.373
angles: 90.00 90.00 90.00
Element x y z (fractional)
Sc (0.000, 0.000, 0.000)
Sc (0.500, 0.500, 0.279)
Mo (0.000, 0.000, 0.531)
Ru (0.500, 0.500, 0.746)

***

y:
The following is a PBE calculation of Sc2MoRu after structural relaxation, from the Alexandria database.

Properties
Size of the total moment, μB/f.u.: 0.31
Space-group type: R-3m (166)

abc: 8.922 8.922 8.922
angles: 19.82 19.82 19.82
Element x y z (fractional)
Sc (0.244, 0.244, 0.244)
Sc (0.756, 0.756, 0.756)
Mo (0.000, 0.000, 0.000)
Ru (0.500, 0.500, 0.500)

***

z:
The following is a PBE calculation of Sc2MoRu after structural relaxation, from the Alexandria database.

Properties
Size of the total moment, μB/f.u.: 0.00
Space-group type: Pmmm (47)

abc: 3.236 4.360 4.904
angles: 90.00 90.00 90.00
Element x y z (fractional)
Sc (0.000, 0.000, 0.000)
Sc (0.500, 0.000, 0.500)
Mo (0.000, 0.500, 0.500)
Ru (0.500, 0.500, 0.000)

***

The structure with the greatest stability is z.

***

w:
The following is a PBE calculation of Sc2MoRu after structural relaxation, from the Alexandria database.

Properties
Size of the total moment, μB/f.u.: 1.22
Space-group type: Fm-3m (225)

abc: 4.620 4.620 4.620
angles: 60.00 60.00 60.00
Element x y z (fractional)
Sc (0.250, 0.250, 0.250)
Sc (0.750, 0.750, 0.750)
Mo (0.000, 0.000, 0.000)
Ru (0.500, 0.500, 0.500)

***

x:
The following is a PBE calculation of Sc2MoRu after structural relaxation, from the Alexandria database.

Properties
Size of the total moment, μB/f.u.: 0.00
Space-group type: Cmmm (65)

abc: 2.935 2.935 8.679
angles: 90.00 90.00 110.51
Element x y z (fractional)
Sc (0.000, 0.000, 0.232)
Sc (0.000, 0.000, 0.768)
Mo (0.500, 0.500, 0.500)
Ru (0.500, 0.500, 0.000)

***

The structure with the greatest stability is x.

***

w:
The following is a PBE calculation of MoRu3Se after structural relaxation, from the Alexandria database.

Properties
Size of the total moment, μB/f.u.: 2.22
Space-group type: Pm-3m (221)

abc: 4.485 4.485 4.485
angles: 90.00 90.00 90.00
Element x y z (fractional)
Mo (0.000, 0.000, 0.000)
Ru (0.000, 0.500, 0.500)
Ru (0.500, 0.000, 0.500)
Ru (0.500, 0.500, 0.000)
Se (0.500, 0.500, 0.500)

***

x:
The following is a PBE calculation of MoRu3Se after structural relaxation, from the Alexandria database.

Properties
Size of the total moment, μB/f.u.: 1.89
Space-group type: Pm-3m (221)

abc: 4.679 4.679 4.679
angles: 90.00 90.00 90.00
Element x y z (fractional)
Mo (0.000, 0.000, 0.000)
Ru (0.000, 0.000, 0.500)
Ru (0.000, 0.500, 0.000)
Ru (0.500, 0.000, 0.000)
Se (0.500, 0.500, 0.500)

***

The structure with the greatest stability is w.

***

w:
The following is a PBE calculation of MoRuSe2 after structural relaxation, from the Alexandria database.

Properties
Size of the total moment, μB/f.u.: 0.00
Space-group type: F-43m (216)

abc: 4.538 4.538 4.538
angles: 60.00 60.00 60.00
Element x y z (fractional)
Mo (0.000, 0.000, 0.000)
Ru (0.750, 0.750, 0.750)
Se (0.250, 0.250, 0.250)
Se (0.500, 0.500, 0.500)

***

x:
The following is a PBE calculation of MoRuSe2 after structural relaxation, from the Alexandria database.

Properties
Size of the total moment, μB/f.u.: 0.00
Space-group type: Pmmm (47)

abc: 3.071 4.038 5.509
angles: 90.00 90.00 90.00
Element x y z (fractional)
Mo (0.000, 0.000, 0.000)
Ru (0.500, 0.000, 0.500)
Se (0.000, 0.500, 0.500)
Se (0.500, 0.500, 0.000)

***

y:
The following is a PBE calculation of MoRuSe2 after structural relaxation, from the Alexandria database.

Properties
Size of the total moment, μB/f.u.: 0.00
Space-group type: P4/mmm (123)

abc: 3.143 3.143 6.270
angles: 90.00 90.00 90.00
Element x y z (fractional)
Mo (0.000, 0.000, 0.000)
Ru (0.000, 0.000, 0.500)
Se (0.500, 0.500, 0.244)
Se (0.500, 0.500, 0.756)

***

The structure with the greatest stability is y.